Material: PrSm3Tm2S6
Method: DFT, PBE-GGA
State: relaxed

Unit cell a=6.8801 b=6.8801 c=6.8848 alpha=99.57 beta=99.57 gamma=120.14
Fractional positions:
Pr: 0.0000 0.0000 0.0000
Sm: 0.1595 0.8405 0.5000
Sm: 0.5000 0.5000 0.5000
Sm: 0.8405 0.1595 0.5000
Tm: 0.3342 0.6659 0.0000
Tm: 0.6659 0.3342 0.0000
S: 0.0809 0.4294 0.2436
S: 0.2687 0.2687 0.7622
S: 0.4294 0.0809 0.2436
S: 0.5706 0.9191 0.7564
S: 0.7313 0.7313 0.2378
S: 0.9191 0.5706 0.7564

**Crystal system**: monoclinic
**Formation energy (no corrections)**: -45.9 kcal/mol of atoms
**Magnetization**: 0.000 μB/atom
**Space group**: C2/m

---

Material: PrSm2TmS4
Method: DFT, PBE-GGA
State: relaxed

Unit cell a=6.8986 b=3.9444 c=7.0049 alpha=90.00 beta=108.83 gamma=90.00
Fractional positions:
Pr: 0.0000 0.0000 0.0000
Sm: 0.5000 0.0000 0.5000
Sm: 0.5000 0.5000 0.0000
Tm: 0.0000 0.5000 0.5000
S: 0.2408 0.0000 0.7354
S: 0.2499 0.5000 0.2619
S: 0.7501 0.5000 0.7381
S: 0.7592 0.0000 0.2646

**Crystal system**: monoclinic
**Formation energy (no corrections)**: -45.8 kcal/mol of atoms
**Magnetization**: 0.000 μB/atom
**Space group**: P2/m

---

Material: Pr2SmTmS6
Method: DFT, PBE-GGA
State: relaxed

Unit cell a=7.4580 b=7.4580 c=7.4580 alpha=56.94 beta=56.94 gamma=56.94
Fractional positions:
Pr: 0.0000 0.0000 0.0000
Pr: 0.4980 0.4980 0.4980
Sm: 0.2074 0.2074 0.2074
Tm: 0.7046 0.7046 0.7046
S: 0.0806 0.4210 0.8198
S: 0.3253 0.9082 0.5926
S: 0.4210 0.8198 0.0806
S: 0.5926 0.3253 0.9082
S: 0.8198 0.0806 0.4210
S: 0.9082 0.5926 0.3253

**Crystal system**: trigonal
**Formation energy (no corrections)**: -46.6 kcal/mol of atoms
**Magnetization**: 0.000 μB/atom
**Space group**: R3